# 1
Ge2Te2Pd7 | PBE-GGA | optimized geometry

Summary:
volume	18.41	Å³/atom
formation energy from raw total energies	-267	meV per atom
Fermi-level density of states	0.5428	states/eV per atom
E	-4.98	eV per atom
crystal system	monoclinic

a = 7.6717 Å, b = 10.0958 Å, c = 5.5879 Å
α = 90.00°, β = 110.64°, γ = 90.00°
Last column: nearest neighbours and their distance in Å.
Space group C2/m (No. 12)
One atom of each set of equivalent atoms:
1 Ge 0.0000 0.1976 0.0000  6 Pd 2.49-2.54
2 Te 0.2054 0.5000 0.2176  5 Pd 2.59-2.79
3 Pd 0.0000 0.5000 0.5000  2 Te 2.59, 4 Pd 2.88
4 Pd 0.0847 0.0000 0.2903  2 Ge 2.51, 2 Te 2.65-2.79
5 Pd 0.1774 0.2525 0.7054  2 Ge 2.49-2.54, 1 Te 2.69


# 2
Hf2Cd2F | PBE-GGA | optimized geometry

Summary:
volume	19.62	Å³/atom
formation energy from raw total energies	-706	meV per atom
Fermi-level density of states	0.6592	states/eV per atom
E	-5.43	eV per atom
crystal system	tetragonal

a = 6.0982 Å, b = 6.0982 Å, c = 5.2771 Å
α = 90.00°, β = 90.00°, γ = 90.00°
Last column: nearest neighbours and their distance in Å.
Space group P4/mbm (No. 127)
One atom of each set of equivalent atoms:
1 Hf 0.1624 0.3376 0.0000  2 F 2.28
2 Cd 0.1638 0.6638 0.5000  1 Cd 2.82, 2 Hf 3.03
3 F 0.0000 0.0000 0.0000  4 Hf 2.28


# 3
Pm5Mg4Pb | PBE-GGA | optimized geometry

Summary:
volume	29.12	Å³/atom
ΔH_f (0 K)	-0.19	eV per atom
Fermi-level density of states	0.9659	states/eV per atom
E	-3.57	eV per atom
crystal system	tetragonal

a = 3.8812 Å, b = 3.8812 Å, c = 19.3313 Å
α = 90.00°, β = 90.00°, γ = 90.00°
Last column: nearest neighbours and their distance in Å.
Space group P4/mmm (No. 123)
One atom of each set of equivalent atoms:
1 Pm 0.0000 0.0000 0.0000  8 Mg 3.36
2 Pm 0.0000 0.0000 0.1999  8 Mg 3.32-3.36
3 Pm 0.0000 0.0000 0.3975  4 Mg 3.37, 4 Pb 3.39
4 Mg 0.5000 0.5000 0.0999  8 Pm 3.36
5 Mg 0.5000 0.5000 0.2963  8 Pm 3.32-3.37
6 Pb 0.5000 0.5000 0.5000  8 Pm 3.39


# 4
Hg2I2Cl | PBE-GGA | optimized geometry

Summary:
volume	51.62	Å³/atom
formation energy from raw total energies	-194	meV per atom
Fermi-level density of states	0.9260	states/eV per atom
E	-1.30	eV per atom
crystal system	tetragonal

a = 8.6396 Å, b = 8.6396 Å, c = 13.8311 Å
α = 90.00°, β = 90.00°, γ = 90.00°
Last column: nearest neighbours and their distance in Å.
Space group I4_1md (No. 109)
One atom of each set of equivalent atoms:
1 Hg 0.0000 0.2127 0.0000  1 Cl 2.58
2 I 0.0000 0.2263 0.2255  3 Hg 3.01-3.12
3 Cl 0.0000 0.0000 0.7002  2 Hg 2.58


# 5
Ti5NbP3 | PBE-GGA | optimized geometry

Summary:
volume	18.26	Å³/atom
ΔH_f (0 K)	-0.56	eV per atom
Fermi-level density of states	0.9819	states/eV per atom
E	-7.87	eV per atom
crystal system	monoclinic

a = 10.6574 Å, b = 7.8165 Å, c = 8.6728 Å
α = 90.00°, β = 114.51°, γ = 90.00°
Last column: nearest neighbours and their distance in Å.
Space group C2/m (No. 12)
One atom of each set of equivalent atoms:
1 Ti 0.0000 0.2013 0.0000  3 P 2.34-2.37
2 Ti 0.0803 0.0000 0.3802  3 P 2.36-2.40
3 Ti 0.1800 0.2963 0.6428  3 P 2.37-2.40
4 Ti 0.2270 0.5000 0.0193  3 P 2.34-2.36
5 Nb 0.1097 0.5000 0.3076  3 P 2.40-2.44
6 P 0.0000 0.5000 0.0000  4 Ti 2.34-2.36, 2 Nb 2.43
7 P 0.0000 0.5000 0.5000  2 Nb 2.40, 4 Ti 2.40
8 P 0.1580 0.0000 0.6827  5 Ti 2.36-2.40, 1 Nb 2.44
9 P 0.1663 0.0000 0.1690  6 Ti 2.34-2.38


# 6
Hf3ZrPt2 | PBE-GGA | optimized geometry

Summary:
volume	20.53	Å³/atom
ΔH_f (0 K)	-0.78	eV per atom
Fermi-level density of states	0.6326	states/eV per atom
E	-9.19	eV per atom
crystal system	orthorhombic

a = 4.5233 Å, b = 8.1692 Å, c = 6.6676 Å
α = 90.00°, β = 90.00°, γ = 90.00°
Last column: nearest neighbours and their distance in Å.
Space group Pmc2_1 (No. 26)
One atom of each set of equivalent atoms:
1 Hf 0.0000 0.0719 0.0000  3 Pt 2.73-2.94
2 Hf 0.0000 0.3312 0.3530  4 Pt 2.68-2.76
3 Hf 0.5000 0.1691 0.6666  4 Pt 2.69-2.72
4 Zr 0.5000 0.4298 0.0211  3 Pt 2.78-2.97
5 Pt 0.0000 0.3400 0.7552  5 Hf 2.68-2.76, 2 Zr 2.97
6 Pt 0.5000 0.1529 0.2632  6 Hf 2.69-2.94, 1 Zr 2.78